No. 1
KTlIn4: relaxed, PBE-GGA.

Unit cell a=5.2460 b=5.2460 c=7.9264 alpha=90.00 beta=90.00 gamma=120.00
Space group P6/mmm (No. 191)
One atom of each set of equivalent atoms:
K1 0.0000 0.0000 0.0000 (multiplicity 1)
Tl1 0.0000 0.0000 0.5000 (multiplicity 1)
In1 0.3333 0.6667 0.2839 (multiplicity 4)

- Formation energy: -27 kJ/mol of formula units
- Excess energy over the best structure of this formula in the dataset: 0.02 eV/f.u.
- Volume: 189 Å³/f.u.
- Crystal system: hexagonal

=====

No. 2
CdBSI2: relaxed, PBE-GGA.

Unit cell a=5.987 b=5.987 c=4.913 alpha=90.00 beta=90.00 gamma=90.00
Space group P4/mmm (No. 123)
One atom of each set of equivalent atoms:
Cd1 0.000 0.000 0.000 (multiplicity 1)
B1 0.500 0.500 0.500 (multiplicity 1)
S1 0.000 0.000 0.500 (multiplicity 1)
I1 0.000 0.500 0.000 (multiplicity 2)

- Volume: 176 Å³/f.u.
- Crystal system: tetragonal
- Formation energy from raw total energies: 1.09 eV per atom

=====

No. 3
CoS2: relaxed, PBE-GGA.

Unit cell a=5.501 b=5.501 c=5.501 alpha=90.00 beta=90.00 gamma=90.00
Space group Pa-3 (No. 205)
One atom of each set of equivalent atoms:
Co1 0.000 0.000 0.000 (multiplicity 4)
S1 0.113 0.613 0.887 (multiplicity 8)

- Volume: 42 Å³/f.u.
- Crystal system: cubic
- Formation energy from raw total energies: -0.34 eV per atom

=====

no.,uncorrected energy (eV/atom),spin magnetization (μB per formula unit)
1,-2.45,0.00
2,-1.88,0.99
3,-5.46,1.00